Record 1
DFT (PBE) results for a relaxed structure of Rb2Tm2MnSe6. Values from VASP.

Computed properties:
Energy relative to the elements, uncorrected (eV per atom): -1.318
Volume (Å³/atom): 30.5

```
&SYSTEM
  ibrav = 0, nat = 11, ntyp = 4
/
ATOMIC_SPECIES
Tm 168.93 Tm.upf
Rb 85.47 Rb.upf
Se 78.96 Se.upf
Mn 54.94 Mn.upf
ATOMIC_POSITIONS angstrom
Tm 2.826 0.898 4.110
Tm -0.617 2.901 4.110
Rb -1.614 4.944 0.034
Rb 5.096 1.040 0.034
Se 3.867 3.080 2.627
Se 0.766 4.884 2.627
Se 0.422 0.726 2.618
Se -1.658 0.718 5.594
Se 1.444 -1.086 5.594
Se 1.787 3.072 5.602
Mn -0.636 -1.093 4.076
CELL_PARAMETERS angstrom
6.869 0.008 0.034
-3.388 5.976 0.034
-1.272 -2.186 8.153
```

=====

Record 2
DFT (PBE) results for a relaxed structure of Rb4Tm3MnSe8. Values from VASP.

Computed properties:
Energy relative to the elements, uncorrected (eV per atom): -1.437
Volume (Å³/atom): 29.5

```
&SYSTEM
  ibrav = 0, nat = 16, ntyp = 4
/
ATOMIC_SPECIES
Se 78.96 Se.upf
Rb 85.47 Rb.upf
Mn 54.94 Mn.upf
Tm 168.93 Tm.upf
ATOMIC_POSITIONS angstrom
Se 2.926 1.554 0.781
Se 6.814 1.057 0.467
Se 4.935 2.872 3.894
Se 2.628 0.499 6.375
Se 4.334 -1.315 3.072
Se 0.619 -0.819 3.263
Se 1.220 3.368 4.084
Se -1.260 0.996 6.690
Rb 0.000 0.000 0.000
Rb -1.803 1.742 3.288
Rb 0.577 4.018 0.788
Rb 2.380 2.276 -2.500
Mn 2.200 -2.991 2.790
Tm 4.580 -0.715 0.290
Tm 0.397 -1.250 6.079
Tm 2.777 1.027 3.578
CELL_PARAMETERS angstrom
-3.606 3.483 6.577
4.400 -5.982 5.581
4.760 4.552 -5.001
```

=====

Record 3
DFT (PBE) results for a relaxed structure of Rb2U2MnSe6. Values from VASP.

Computed properties:
Energy relative to the elements, uncorrected (eV per atom): -1.091
Volume (Å³/atom): 32.5

```
&SYSTEM
  ibrav = 0, nat = 11, ntyp = 4
/
ATOMIC_SPECIES
U 238.03 U.upf
Rb 85.47 Rb.upf
Se 78.96 Se.upf
Mn 54.94 Mn.upf
ATOMIC_POSITIONS angstrom
U -4.795 -0.865 1.704
U -1.924 -1.527 4.539
Rb 1.829 -4.043 3.116
Rb -3.927 -2.715 -2.570
Se -4.720 -1.999 4.311
Se -4.474 -3.543 0.810
Se -2.245 1.150 5.433
Se -5.061 1.800 2.651
Se -1.999 -0.393 1.932
Se -1.658 -4.192 3.592
Mn -2.310 2.183 2.848
CELL_PARAMETERS angstrom
-5.361 -2.385 -3.985
3.262 -4.373 4.532
-4.620 4.366 5.697
```

=====

Q: energy relative to the elements, uncorrected of number 1 (Rb2Tm2MnSe6)?
A: -1.318 eV per atom